Here is a relaxed structure of Pr2Er3ScSe6 from Alexandria via LeMat-Bulk. Energies are from PBE.

Unit cell a=17.864 b=4.062 c=8.268 alpha=90.00 beta=103.77 gamma=90.00
Space group C2/m (No. 12)
Unique sites:
1 Pr 0.168 0.000 0.335
2 Er 0.000 0.500 0.500
3 Er 0.173 0.000 0.836
4 Sc 0.000 0.500 0.000
5 Se 0.006 0.000 0.760
6 Se 0.161 0.500 0.067
7 Se 0.161 0.500 0.595

Output
The total magnetization comes out at 0.00 μB/f.u. The value obtained for the uncorrected formation energy is -1.71 eV/atom.



Here is a relaxed structure of Pr3ErSc3Se8 from Alexandria via LeMat-Bulk. Energies are from PBE.

Unit cell a=8.0205 b=8.0205 c=20.3323 alpha=90.00 beta=90.00 gamma=120.00
Space group R-3m (No. 166, hexagonal axes)
Unique sites:
1 Pr 0.0000 0.5000 0.0000
2 Er 0.0000 0.0000 0.5000
3 Sc 0.0000 0.5000 0.5000
4 Se 0.0000 0.0000 0.2397
5 Se 0.0144 0.5072 0.7566

Output
The total magnetization comes out at 0.00 μB/f.u. The value obtained for the uncorrected formation energy is -1.77 eV/atom.



Here is a relaxed structure of PrErScSe3 from Alexandria via LeMat-Bulk. Energies are from PBE.

Unit cell a=8.372 b=4.065 c=9.295 alpha=90.00 beta=104.47 gamma=90.00
Space group P2_1/m (No. 11)
Unique sites:
1 Pr 0.180 0.250 0.221
2 Er 0.340 0.750 0.856
3 Sc 0.101 0.250 0.598
4 Se 0.104 0.250 0.883
5 Se 0.244 0.750 0.491
6 Se 0.436 0.750 0.175

Output
The total magnetization comes out at 0.85 μB/f.u. The value obtained for the uncorrected formation energy is -1.56 eV/atom.



Here is a relaxed structure of PrEr2ScSe4 from Alexandria via LeMat-Bulk. Energies are from PBE.

Unit cell a=7.015 b=4.007 c=7.146 alpha=90.00 beta=108.73 gamma=90.00
Space group P2/m (No. 10)
Unique sites:
1 Pr 0.000 0.000 0.000
2 Er 0.500 0.000 0.500
3 Er 0.500 0.500 0.000
4 Sc 0.000 0.500 0.500
5 Se 0.249 0.000 0.736
6 Se 0.260 0.500 0.267

Output
The total magnetization comes out at 0.00 μB/f.u. The value obtained for the uncorrected formation energy is -1.68 eV/atom.



Here is a relaxed structure of Pr3Er3ScSe8 from Alexandria via LeMat-Bulk. Energies are from PBE.

Unit cell a=8.1794 b=8.1794 c=20.5288 alpha=90.00 beta=90.00 gamma=120.00
Space group R-3m (No. 166, hexagonal axes)
Unique sites:
1 Pr 0.0000 0.5000 0.0000
2 Er 0.0000 0.5000 0.5000
3 Sc 0.0000 0.0000 0.5000
4 Se 0.0000 0.0000 0.2436
5 Se 0.0018 0.5009 0.2430

Output
The total magnetization comes out at 0.00 μB/f.u. The value obtained for the uncorrected formation energy is -1.82 eV/atom.



Here is a relaxed structure of Pr2Sm5ErSc from Alexandria via LeMat-Bulk. Energies are from PBE.

Unit cell a=5.410 b=22.048 c=10.141 alpha=90.00 beta=90.00 gamma=90.00
Space group Cmcm (No. 63)
Unique sites:
1 Pr 0.000 0.116 0.004
2 Sm 0.000 0.000 0.250
3 Sm 0.000 0.277 0.063
4 Sm 0.000 0.372 0.750
5 Sm 0.000 0.500 0.000
6 Er 0.000 0.398 0.250
7 Sc 0.000 0.213 0.750

Output
The total magnetization comes out at 0.00 μB/f.u. The total energy comes out at -171.9 eV per cell.



Here is a relaxed structure of Pr5Sm2ErSc from Alexandria via LeMat-Bulk. Energies are from PBE.

Unit cell a=8.454 b=8.454 c=17.324 alpha=90.00 beta=90.00 gamma=90.00
Space group I4/mcm (No. 140)
Unique sites:
1 Pr 0.000 0.000 0.000
2 Pr 0.218 0.282 0.145
3 Sm 0.126 0.374 0.500
4 Er 0.000 0.000 0.250
5 Sc 0.000 0.500 0.250

Output
The total magnetization comes out at 0.00 μB/f.u. The total energy comes out at -166.6 eV per cell.



Here is a relaxed structure of Pr2Sm6Er3Sc from Alexandria via LeMat-Bulk. Energies are from PBE.

Unit cell a=6.206 b=10.750 c=11.862 alpha=90.00 beta=100.05 gamma=90.00
Space group C2/m (No. 12)
Unique sites:
1 Pr 0.000 0.167 0.000
2 Sm 0.246 0.500 0.747
3 Sm 0.248 0.335 0.252
4 Er 0.000 0.000 0.500
5 Er 0.000 0.334 0.500
6 Sc 0.000 0.500 0.000

Output
The total magnetization comes out at 0.00 μB/f.u. The total energy comes out at -115.1 eV per cell.



Here is a relaxed structure of Pr6SmEr2Sc from Alexandria via LeMat-Bulk. Energies are from PBE.

Unit cell a=9.384 b=15.311 c=9.502 alpha=90.00 beta=96.54 gamma=90.00
Space group C2/c (No. 15)
Unique sites:
1 Pr 0.058 0.175 0.448
2 Pr 0.095 0.389 0.613
3 Pr 0.227 0.216 0.806
4 Sm 0.000 0.028 0.750
5 Er 0.247 0.453 0.950
6 Sc 0.000 0.420 0.250

Output
The total magnetization comes out at 0.00 μB/f.u. The total energy comes out at -190.4 eV per cell.



Here is a relaxed structure of Pr5SmEr2Sc from Alexandria via LeMat-Bulk. Energies are from PBE.

Unit cell a=5.407 b=21.971 c=10.353 alpha=90.00 beta=90.00 gamma=90.00
Space group Cmc2_1 (No. 36)
Unique sites:
1 Pr 0.000 0.000 0.000
2 Pr 0.000 0.127 0.250
3 Pr 0.000 0.221 0.563
4 Pr 0.000 0.221 0.938
5 Pr 0.000 0.498 0.750
6 Sm 0.000 0.101 0.750
7 Er 0.000 0.384 0.003
8 Er 0.000 0.384 0.497
9 Sc 0.000 0.286 0.251

Output
The total magnetization comes out at 0.00 μB/f.u. The total energy comes out at -171.7 eV per cell.



Here is a relaxed structure of Pr2SmErSc from Alexandria via LeMat-Bulk. Energies are from PBE.

Unit cell a=6.506 b=15.920 c=6.513 alpha=90.00 beta=90.00 gamma=90.00
Space group Cmcm (No. 63)
Unique sites:
1 Pr 0.249 0.000 0.000
2 Sm 0.000 0.337 0.250
3 Er 0.000 0.249 0.750
4 Sc 0.000 0.154 0.250

Output
The total magnetization comes out at 0.00 μB/f.u. The total energy comes out at -93.0 eV per cell.



Here is a relaxed structure of Pr2Sm3Er6Sc from Alexandria via LeMat-Bulk. Energies are from PBE.

Unit cell a=6.151 b=10.653 c=11.745 alpha=90.00 beta=100.03 gamma=90.00
Space group C2/m (No. 12)
Unique sites:
1 Pr 0.000 0.166 0.000
2 Sm 0.000 0.000 0.500
3 Sm 0.000 0.333 0.500
4 Er 0.247 0.500 0.751
5 Er 0.248 0.335 0.249
6 Sc 0.000 0.500 0.000

Output
The total magnetization comes out at 0.00 μB/f.u. The total energy comes out at -114.2 eV per cell.



Here is a relaxed structure of PrSm2Er5Sc from Alexandria via LeMat-Bulk. Energies are from PBE.

Unit cell a=5.573 b=19.656 c=10.402 alpha=90.00 beta=90.00 gamma=90.00
Space group Cmc2_1 (No. 36)
Unique sites:
1 Pr 0.000 0.086 0.000
2 Sm 0.000 0.386 0.277
3 Sm 0.000 0.388 0.859
4 Er 0.000 0.019 0.283
5 Er 0.000 0.125 0.563
6 Er 0.000 0.203 0.249
7 Er 0.000 0.223 0.867
8 Er 0.000 0.482 0.565
9 Sc 0.000 0.303 0.559

Output
The total magnetization comes out at 0.00 μB/f.u. The total energy comes out at -167.4 eV per cell.



Here is a relaxed structure of PrSm2Er4Sc from Alexandria via LeMat-Bulk. Energies are from PBE.

Unit cell a=6.737 b=11.682 c=13.100 alpha=90.00 beta=90.00 gamma=90.00
Space group Imma (No. 74)
Unique sites:
1 Pr 0.000 0.000 0.000
2 Sm 0.000 0.000 0.500
3 Sm 0.250 0.250 0.250
4 Er 0.000 0.015 0.750
5 Er 0.250 0.250 0.513
6 Sc 0.250 0.250 0.750

Output
The total magnetization comes out at 1.57 μB/f.u. The total energy comes out at -141.7 eV per cell.



Here is a relaxed structure of Tb6PrEr2Sc3 from Alexandria via LeMat-Bulk. Energies are from PBE.

Unit cell a=6.068 b=10.505 c=11.498 alpha=90.00 beta=100.11 gamma=90.00
Space group C2/m (No. 12)
Unique sites:
1 Tb 0.246 0.167 0.240
2 Tb 0.247 0.500 0.240
3 Pr 0.000 0.500 0.500
4 Er 0.000 0.167 0.500
5 Sc 0.000 0.000 0.000
6 Sc 0.000 0.333 0.000

Output
The total magnetization comes out at 0.00 μB/f.u. The total energy comes out at -120.3 eV per cell.



Here is a relaxed structure of Tb2PrEr6Sc3 from Alexandria via LeMat-Bulk. Energies are from PBE.

Unit cell a=6.035 b=10.449 c=11.455 alpha=90.00 beta=100.10 gamma=90.00
Space group C2/m (No. 12)
Unique sites:
1 Tb 0.000 0.167 0.000
2 Pr 0.000 0.500 0.000
3 Er 0.246 0.167 0.739
4 Er 0.247 0.500 0.739
5 Sc 0.000 0.000 0.500
6 Sc 0.000 0.333 0.500

Output
The total magnetization comes out at 0.00 μB/f.u. The total energy comes out at -119.7 eV per cell.



Here is a relaxed structure of Tb2PrEr4Sc from Alexandria via LeMat-Bulk. Energies are from PBE.

Unit cell a=13.422 b=13.077 c=6.720 alpha=90.00 beta=120.03 gamma=90.00
Space group C2/c (No. 15)
Unique sites:
1 Tb 0.000 0.000 0.000
2 Tb 0.250 0.250 0.000
3 Pr 0.250 0.250 0.500
4 Er 0.000 0.261 0.501
5 Er 0.238 0.500 0.486
6 Sc 0.000 0.500 0.000

Output
The total magnetization comes out at 2.27 μB/f.u. The total energy comes out at -140.5 eV per cell.



Here is a relaxed structure of TbPr2Er6Sc3 from Alexandria via LeMat-Bulk. Energies are from PBE.

Unit cell a=6.064 b=10.501 c=11.483 alpha=90.00 beta=100.14 gamma=90.00
Space group C2/m (No. 12)
Unique sites:
1 Tb 0.000 0.000 0.000
2 Pr 0.000 0.333 0.000
3 Er 0.245 0.000 0.738
4 Er 0.246 0.334 0.738
5 Sc 0.000 0.166 0.500
6 Sc 0.000 0.500 0.500

Output
The total magnetization comes out at 0.00 μB/f.u. The total energy comes out at -120.0 eV per cell.



Here is a relaxed structure of Tb2Pr2ErSc from Alexandria via LeMat-Bulk. Energies are from PBE.

Unit cell a=6.913 b=5.624 c=9.744 alpha=90.00 beta=90.00 gamma=90.00
Space group Pmma (No. 51)
Unique sites:
1 Tb 0.250 0.000 0.165
2 Tb 0.250 0.500 0.666
3 Pr 0.000 0.000 0.500
4 Pr 0.250 0.500 0.314
5 Er 0.250 0.000 0.846
6 Sc 0.000 0.500 0.000

Output
The total magnetization comes out at 0.00 μB/f.u. The total energy comes out at -58.2 eV per cell.